No. 1
Computed, not measured: a relaxed structure of CsErI3 at the GGA-PBE level of DFT.

The structure belongs to space group Pm-3m (No. 221); the cell edges are 6.0379, 6.0379 and 6.0379 Å and the angles 90.00°, 90.00° and 90.00°. The asymmetric unit holds Cs at (0.0000, 0.0000, 0.0000), Er at (0.5000, 0.5000, 0.5000) and I at (0.0000, 0.5000, 0.5000).

The value obtained for the total magnetization is 0.01 μB/cell. The formation energy from raw total energies is -1.2175 eV per atom. The density of states at the Fermi level comes out at 0.6937 states/eV per atom.


No. 2
Computed, not measured: a relaxed structure of Tl3Sb5 at the GGA-PBE level of DFT.

The structure belongs to space group Cm (No. 8); the cell edges are 6.8623, 15.3027 and 10.3676 Å and the angles 90.00°, 103.08° and 90.00°. The asymmetric unit holds Tl at (0.0000, 0.0000, 0.0000), Tl at (0.0052, 0.5000, 0.8614), Tl at (0.1910, 0.2776, 0.9365), Tl at (0.3484, 0.2883, 0.4224), Sb at (0.0890, 0.1577, 0.1881), Sb at (0.1472, 0.5000, 0.4205), Sb at (0.2411, 0.0000, 0.4622), Sb at (0.2752, 0.1426, 0.6582), Sb at (0.3869, 0.4036, 0.7009) and Sb at (0.4778, 0.1020, 0.1613).

The energy above the most stable polymorph in this dataset is 0.0 meV per atom. The value obtained for the total magnetization is 0.00 μB/cell. The formation energy from raw total energies is 0.0831 eV per atom. The density of states at the Fermi level comes out at 0.3631 states/eV per atom.


No. 3
Computed, not measured: a relaxed structure of Sr3NbRh at the GGA-PBE level of DFT.

The structure belongs to space group Pm-3m (No. 221); the cell edges are 5.7232, 5.7232 and 5.7232 Å and the angles 90.00°, 90.00° and 90.00°. The asymmetric unit holds Sr at (0.0000, 0.0000, 0.5000), Nb at (0.5000, 0.5000, 0.5000) and Rh at (0.0000, 0.0000, 0.0000).

The energy above the most stable polymorph in this dataset is 0.0 meV per atom. The value obtained for the total magnetization is 4.04 μB/cell. The formation energy is 3.1 eV/f.u. The density of states at the Fermi level comes out at 0.8699 states/eV per atom.


No. 4
Computed, not measured: a relaxed structure of CeHgGe at the GGA-PBE level of DFT.

The structure belongs to space group I4mm (No. 107); the cell edges are 4.0741, 4.0741 and 9.0769 Å and the angles 90.00°, 90.00° and 90.00°. The asymmetric unit holds Ce at (0.0000, 0.0000, 0.0000), Hg at (0.0000, 0.0000, 0.6719) and Ge at (0.0000, 0.0000, 0.3500).

The value obtained for the total magnetization is 0.83 μB/cell. The formation energy is -0.7 eV/f.u. The density of states at the Fermi level comes out at 1.6085 states/eV per atom.


No. 5
Computed, not measured: a relaxed structure of Ac12AlPb7 at the GGA-PBE level of DFT.

The structure belongs to space group R-3 (No. 148, hexagonal axes); the cell edges are 16.2441, 16.2441 and 10.2748 Å and the angles 90.00°, 90.00° and 120.00°. The asymmetric unit holds Ac at (0.0360, 0.8727, 0.2019), Ac at (0.0389, 0.7825, 0.5701), Al at (0.0000, 0.0000, 0.0000), Pb at (0.0000, 0.0000, 0.5000) and Pb at (0.0574, 0.5883, 0.5822).

The value obtained for the total magnetization is 0.04 μB/cell. The formation energy is -6.2 eV/f.u. The density of states at the Fermi level comes out at 1.2043 states/eV per atom.


No. 6
Computed, not measured: a relaxed structure of Ac2IrOs at the GGA-PBE level of DFT.

The structure belongs to space group P4/mmm (No. 123); the cell edges are 5.1786, 5.1786 and 3.7934 Å and the angles 90.00°, 90.00° and 90.00°. The asymmetric unit holds Ac at (0.0000, 0.5000, 0.0000), Ir at (0.0000, 0.0000, 0.5000) and Os at (0.5000, 0.5000, 0.5000).

The value obtained for the total magnetization is 0.00 μB/cell. The formation energy is 0.2 eV/f.u. The density of states at the Fermi level comes out at 0.7350 states/eV per atom.


Number 1: ρ 5.136 g/cm³, energy -3.231 eV/atom. Number 2: ρ 7.654 g/cm³, energy -3.381 eV/atom. Number 3: ρ 4.063 g/cm³, energy -3.874 eV/atom. Number 4: ρ 9.111 g/cm³, energy -3.849 eV/atom. Number 5: ρ 8.914 g/cm³, energy -4.258 eV/atom. Number 6: ρ 13.653 g/cm³, energy -7.023 eV/atom.